# GaAgHg2I4 PBE optimized geometry
# Energy relative to the elements, uncorrected (eV per atom): -0.283
data_GaAgHg2I4
_chemical_formula_sum 'Ga2 Ag2 Hg4 I8'
_space_group_name_H-M_alt 'P 1'
_space_group_IT_number 1
_cell_length_a 7.193
_cell_length_b 8.100
_cell_length_c 15.150
_cell_angle_alpha 83.95
_cell_angle_beta 76.27
_cell_angle_gamma 63.64
loop_
_space_group_symop_operation_xyz
'x,y,z'
loop_
_atom_site_label
_atom_site_type_symbol
_atom_site_fract_x
_atom_site_fract_y
_atom_site_fract_z
_atom_site_occupancy
I1 I 0.421 0.698 0.399 1
I2 I 0.519 0.302 0.601 1
I3 I 0.179 0.302 0.399 1
I4 I 0.880 0.698 0.601 1
I5 I 0.870 0.802 0.899 1
I6 I 0.329 0.802 0.101 1
I7 I 0.231 0.198 0.899 1
I8 I 0.571 0.198 0.101 1
Hg1 Hg 0.581 0.500 0.839 1
Hg2 Hg 0.169 0.000 0.661 1
Hg3 Hg 0.831 0.000 0.339 1
Hg4 Hg 0.919 0.500 0.161 1
Ag1 Ag 0.000 0.000 0.000 1
Ag2 Ag 0.750 0.500 0.500 1
Ga1 Ga 0.250 0.500 0.500 1
Ga2 Ga 0.500 0.000 0.000 1

---

# InCu2Br PBE optimized geometry
# Energy relative to the elements, uncorrected (eV per atom): 0.225
# Relative energy among the computed polymorphs (meV/atom): 224
data_InCu2Br
_chemical_formula_sum 'In1 Cu2 Br1'
_space_group_name_H-M_alt 'P 1'
_space_group_IT_number 1
_cell_length_a 3.426
_cell_length_b 4.061
_cell_length_c 6.162
_cell_angle_alpha 70.20
_cell_angle_beta 90.00
_cell_angle_gamma 90.00
loop_
_space_group_symop_operation_xyz
'x,y,z'
loop_
_atom_site_label
_atom_site_type_symbol
_atom_site_fract_x
_atom_site_fract_y
_atom_site_fract_z
_atom_site_occupancy
In1 In 0.500 0.500 0.000 1
Cu1 Cu 0.000 0.000 0.000 1
Cu2 Cu 0.500 0.000 0.500 1
Br1 Br 0.000 0.500 0.500 1

---

# Mg2ZrScV PBE optimized geometry
# Formation energy (eV/atom): 0.6431
data_Mg2ZrScV
_chemical_formula_sum 'Mg2 Zr1 Sc1 V1'
_space_group_name_H-M_alt 'P 1'
_space_group_IT_number 1
_cell_length_a 5.115
_cell_length_b 4.654
_cell_length_c 5.115
_cell_angle_alpha 90.00
_cell_angle_beta 90.00
_cell_angle_gamma 90.00
loop_
_space_group_symop_operation_xyz
'x,y,z'
loop_
_atom_site_label
_atom_site_type_symbol
_atom_site_fract_x
_atom_site_fract_y
_atom_site_fract_z
_atom_site_occupancy
Mg1 Mg 0.500 0.000 0.000 1
Mg2 Mg 0.000 0.000 0.500 1
Sc1 Sc 0.500 0.500 0.500 1
Zr1 Zr 0.000 0.500 0.000 1
V1 V 0.000 0.000 0.000 1

---

Calculated M_tot (μB per formula unit), listed in the same order as above: 0.0; 0.0; 1.3
Calculated total energy (eV per cell), listed in the same order as above: -29.9; -11.7; -24.0